(1)
First-principles (GGA-PBEsol) data for a geometry-optimized LiSi3BiO8 structure, as listed in Alexandria via LeMat-Bulk.

Results
magnetization: 0.00 μB per cell
E_form (uncorrected): -2405 meV/atom
V: 688.5 Å³/cell
density of states at the Fermi level: 0.00 states/eV per atom
energy above the lowest structure with this stoichiometry: 0 kJ/mol of formula units

a = 7.638 Å, b = 7.638 Å, c = 13.124 Å
α = 94.43°, β = 94.43°, γ = 114.67°
Positions (direct):
1 Li 0.037 0.385 0.187
2 Li 0.385 0.037 0.687
3 Li 0.615 0.963 0.313
4 Li 0.963 0.615 0.813
5 Si 0.822 0.642 0.167
6 Si 0.712 0.952 0.103
7 Si 0.396 0.315 0.111
8 Si 0.685 0.604 0.389
9 Si 0.048 0.288 0.397
10 Si 0.642 0.822 0.667
11 Si 0.358 0.178 0.333
12 Si 0.952 0.712 0.603
13 Si 0.315 0.396 0.611
14 Si 0.288 0.048 0.897
15 Si 0.604 0.685 0.889
16 Si 0.178 0.358 0.833
17 Bi 0.312 0.737 0.455
18 Bi 0.263 0.688 0.045
19 Bi 0.737 0.312 0.955
20 Bi 0.688 0.263 0.545
21 O 0.817 0.182 0.106
22 O 0.618 0.478 0.099
23 O 0.133 0.482 0.337
24 O 0.790 0.609 0.285
25 O 0.995 0.594 0.127
26 O 0.247 0.413 0.104
27 O 0.860 0.861 0.147
28 O 0.478 0.618 0.599
29 O 0.182 0.817 0.606
30 O 0.587 0.753 0.396
31 O 0.139 0.140 0.353
32 O 0.482 0.133 0.837
33 O 0.609 0.790 0.785
34 O 0.406 0.005 0.373
35 O 0.145 0.368 0.519
36 O 0.855 0.632 0.481
37 O 0.594 0.995 0.627
38 O 0.518 0.867 0.163
39 O 0.391 0.210 0.215
40 O 0.861 0.860 0.647
41 O 0.413 0.247 0.604
42 O 0.818 0.183 0.394
43 O 0.522 0.382 0.401
44 O 0.140 0.139 0.853
45 O 0.753 0.587 0.896
46 O 0.005 0.406 0.873
47 O 0.368 0.145 0.019
48 O 0.632 0.855 0.981
49 O 0.210 0.391 0.715
50 O 0.867 0.518 0.663
51 O 0.382 0.522 0.901
52 O 0.183 0.818 0.894

(2)
First-principles (GGA-PBEsol) data for a geometry-optimized LiSi6BiO14 structure, as listed in Alexandria via LeMat-Bulk.

Results
magnetization: 0.00 μB per cell
E_form (uncorrected): -2586 meV/atom
V: 1145.7 Å³/cell
density of states at the Fermi level: 0.00 states/eV per atom

a = 7.599 Å, b = 13.019 Å, c = 13.019 Å
α = 72.64°, β = 73.03°, γ = 73.03°
Positions (direct):
1 Li 0.750 0.250 0.250
2 Li 0.250 0.750 0.750
3 Li 0.000 0.500 0.500
4 Li 0.500 0.000 0.000
5 Si 0.671 0.368 0.632
6 Si 0.171 0.132 0.868
7 Si 0.245 0.835 0.165
8 Si 0.406 0.925 0.777
9 Si 0.608 0.575 0.723
10 Si 0.906 0.277 0.425
11 Si 0.108 0.223 0.075
12 Si 0.255 0.335 0.665
13 Si 0.709 0.771 0.527
14 Si 0.209 0.027 0.271
15 Si 0.006 0.473 0.229
16 Si 0.506 0.729 0.973
17 Si 0.994 0.527 0.771
18 Si 0.291 0.229 0.473
19 Si 0.791 0.973 0.729
20 Si 0.494 0.271 0.027
21 Si 0.745 0.665 0.335
22 Si 0.392 0.425 0.277
23 Si 0.892 0.777 0.925
24 Si 0.594 0.075 0.223
25 Si 0.094 0.723 0.575
26 Si 0.755 0.165 0.835
27 Si 0.829 0.868 0.132
28 Si 0.329 0.632 0.368
29 Bi 0.250 0.967 0.533
30 Bi 0.750 0.467 0.033
31 Bi 0.250 0.533 0.967
32 Bi 0.750 0.033 0.467
33 O 0.682 0.488 0.641
34 O 0.811 0.359 0.512
35 O 0.749 0.270 0.730
36 O 0.605 0.417 0.209
37 O 0.231 0.791 0.583
38 O 0.959 0.135 0.865
39 O 0.269 0.917 0.709
40 O 0.895 0.291 0.083
41 O 0.086 0.441 0.687
42 O 0.214 0.313 0.559
43 O 0.425 0.114 0.517
44 O 0.056 0.483 0.886
45 O 0.311 0.012 0.859
46 O 0.182 0.141 0.988
47 O 0.249 0.230 0.770
48 O 0.075 0.983 0.386
49 O 0.444 0.614 0.017
50 O 0.461 0.803 0.856
51 O 0.619 0.697 0.644
52 O 0.961 0.356 0.303
53 O 0.119 0.144 0.197
54 O 0.414 0.813 0.059
55 O 0.286 0.941 0.187
56 O 0.764 0.539 0.799
57 O 0.102 0.201 0.461
58 O 0.602 0.961 0.701
59 O 0.264 0.299 0.039
60 O 0.459 0.365 0.635
61 O 0.541 0.635 0.365
62 O 0.736 0.701 0.961
63 O 0.236 0.461 0.201
64 O 0.898 0.799 0.539
65 O 0.398 0.039 0.299
66 O 0.586 0.187 0.941
67 O 0.714 0.059 0.813
68 O 0.381 0.303 0.356
69 O 0.881 0.856 0.803
70 O 0.039 0.644 0.697
71 O 0.539 0.197 0.144
72 O 0.925 0.017 0.614
73 O 0.556 0.386 0.983
74 O 0.751 0.770 0.230
75 O 0.818 0.859 0.012
76 O 0.689 0.988 0.141
77 O 0.575 0.886 0.483
78 O 0.944 0.517 0.114
79 O 0.914 0.559 0.313
80 O 0.786 0.687 0.441
81 O 0.105 0.709 0.917
82 O 0.731 0.083 0.291
83 O 0.041 0.865 0.135
84 O 0.395 0.583 0.791
85 O 0.769 0.209 0.417
86 O 0.251 0.730 0.270
87 O 0.318 0.512 0.359
88 O 0.189 0.641 0.488

(3)
First-principles (GGA-PBEsol) data for a geometry-optimized LiSiBiO4 structure, as listed in Alexandria via LeMat-Bulk.

Results
magnetization: 0.00 μB per cell
E_form (uncorrected): -2140 meV/atom
V: 313.9 Å³/cell
density of states at the Fermi level: 0.00 states/eV per atom
energy above the lowest structure with this stoichiometry: 0 kJ/mol of formula units

a = 4.846 Å, b = 5.300 Å, c = 12.221 Å
α = 90.00°, β = 90.00°, γ = 90.00°
Positions (direct):
1 Li 0.000 0.250 0.236
2 Li 0.000 0.750 0.764
3 Li 0.500 0.750 0.264
4 Li 0.500 0.250 0.736
5 Si 0.000 0.750 0.386
6 Si 0.000 0.250 0.614
7 Si 0.500 0.750 0.886
8 Si 0.500 0.250 0.114
9 Bi 0.000 0.750 0.103
10 Bi 0.000 0.250 0.897
11 Bi 0.500 0.750 0.603
12 Bi 0.500 0.250 0.397
13 O 0.836 0.545 0.307
14 O 0.836 0.045 0.693
15 O 0.745 0.397 0.044
16 O 0.745 0.897 0.956
17 O 0.755 0.897 0.456
18 O 0.755 0.397 0.544
19 O 0.664 0.045 0.193
20 O 0.664 0.545 0.807
21 O 0.336 0.455 0.193
22 O 0.336 0.955 0.807
23 O 0.245 0.603 0.456
24 O 0.245 0.103 0.544
25 O 0.255 0.103 0.044
26 O 0.255 0.603 0.956
27 O 0.164 0.955 0.307
28 O 0.164 0.455 0.693

(4)
First-principles (GGA-PBEsol) data for a geometry-optimized LiSiBiO4 structure, as listed in Alexandria via LeMat-Bulk.

Results
magnetization: 0.00 μB per cell
E_form (uncorrected): -2082 meV/atom
V: 781.4 Å³/cell
density of states at the Fermi level: 0.00 states/eV per atom
energy above the lowest structure with this stoichiometry: 39 kJ/mol of formula units

a = 5.269 Å, b = 10.235 Å, c = 14.490 Å
α = 90.00°, β = 90.00°, γ = 90.00°
Positions (direct):
1 Li 0.018 0.992 0.497
2 Li 0.464 0.780 0.248
3 Li 0.464 0.720 0.748
4 Li 0.018 0.508 0.997
5 Li 0.982 0.492 0.497
6 Li 0.536 0.280 0.248
7 Li 0.536 0.220 0.748
8 Li 0.982 0.008 0.997
9 Si 0.513 0.979 0.618
10 Si 0.938 0.758 0.880
11 Si 0.938 0.742 0.380
12 Si 0.513 0.521 0.118
13 Si 0.487 0.479 0.618
14 Si 0.062 0.258 0.880
15 Si 0.062 0.242 0.380
16 Si 0.487 0.021 0.118
17 Bi 0.987 0.006 0.244
18 Bi 0.411 0.788 0.996
19 Bi 0.411 0.712 0.496
20 Bi 0.987 0.494 0.744
21 Bi 0.013 0.506 0.244
22 Bi 0.589 0.288 0.996
23 Bi 0.589 0.212 0.496
24 Bi 0.013 0.994 0.744
25 O 0.205 0.952 0.103
26 O 0.360 0.026 0.526
27 O 0.602 0.953 0.214
28 O 0.089 0.902 0.887
29 O 0.504 0.821 0.633
30 O 0.997 0.811 0.478
31 O 0.083 0.684 0.791
32 O 0.638 0.773 0.858
33 O 0.638 0.727 0.358
34 O 0.083 0.816 0.291
35 O 0.997 0.689 0.978
36 O 0.504 0.679 0.133
37 O 0.089 0.598 0.387
38 O 0.602 0.547 0.714
39 O 0.360 0.474 0.026
40 O 0.205 0.548 0.603
41 O 0.795 0.452 0.103
42 O 0.640 0.526 0.526
43 O 0.398 0.453 0.214
44 O 0.911 0.402 0.887
45 O 0.496 0.321 0.633
46 O 0.003 0.311 0.478
47 O 0.917 0.184 0.791
48 O 0.362 0.273 0.858
49 O 0.362 0.227 0.358
50 O 0.917 0.316 0.291
51 O 0.003 0.189 0.978
52 O 0.496 0.179 0.133
53 O 0.911 0.098 0.387
54 O 0.398 0.047 0.714
55 O 0.640 0.974 0.026
56 O 0.795 0.048 0.603

(5)
First-principles (GGA-PBEsol) data for a geometry-optimized Li3Si2Bi3O10 structure, as listed in Alexandria via LeMat-Bulk.

Results
magnetization: 0.00 μB per cell
E_form (uncorrected): -1988 meV/atom
V: 463.9 Å³/cell
density of states at the Fermi level: 0.00 states/eV per atom

a = 5.341 Å, b = 6.876 Å, c = 12.637 Å
α = 90.00°, β = 91.66°, γ = 90.00°
Positions (direct):
1 Li 0.982 0.240 0.456
2 Li 0.022 0.463 0.231
3 Li 0.022 0.537 0.731
4 Li 0.982 0.760 0.956
5 Li 0.512 0.940 0.056
6 Li 0.512 0.060 0.556
7 Si 0.470 0.238 0.339
8 Si 0.990 0.184 0.011
9 Si 0.470 0.762 0.839
10 Si 0.990 0.816 0.511
11 Bi 0.557 0.294 0.828
12 Bi 0.511 0.514 0.592
13 Bi 0.511 0.486 0.092
14 Bi 0.557 0.706 0.328
15 Bi 0.049 0.058 0.719
16 Bi 0.049 0.942 0.219
17 O 0.181 0.306 0.341
18 O 0.618 0.253 0.454
19 O 0.995 0.222 0.882
20 O 0.695 0.174 0.045
21 O 0.269 0.321 0.700
22 O 0.758 0.273 0.682
23 O 0.117 0.362 0.081
24 O 0.627 0.383 0.257
25 O 0.627 0.617 0.757
26 O 0.117 0.638 0.581
27 O 0.181 0.694 0.841
28 O 0.995 0.778 0.382
29 O 0.695 0.826 0.545
30 O 0.618 0.747 0.954
31 O 0.758 0.727 0.182
32 O 0.269 0.679 0.200
33 O 0.134 0.023 0.541
34 O 0.482 0.983 0.787
35 O 0.482 0.017 0.287
36 O 0.134 0.977 0.041